1.
VASP calculation (GGA-PBE) on an optimized crystal structure of Cs2Sr2Ca.

## Properties
* formation energy from the elements: 0.302 eV/atom
* final energy: -1.11 eV/atom
* Fermi-level density of states: 1.15 states/eV per atom

Unit cell a=10.1825 b=10.1825 c=7.4244 alpha=90.00 beta=90.00 gamma=90.00
Last column: nearest neighbours and their distance in Å.
Fractional positions:
Cs (0.8274, 0.3274, 0.5000)  6 Sr 4.56-4.92, 1 Cs 4.97
Sr (0.6439, 0.1439, 0.0000)  2 Ca 3.91, 1 Sr 4.15
Cs (0.3274, 0.1726, 0.5000)  6 Sr 4.56-4.92, 1 Cs 4.97
Sr (0.3561, 0.8561, 0.0000)  2 Ca 3.91, 1 Sr 4.15
Ca (0.0000, 0.0000, 0.0000)  4 Sr 3.91
Sr (0.8561, 0.6439, 0.0000)  2 Ca 3.91, 1 Sr 4.15
Sr (0.1439, 0.3561, 0.0000)  2 Ca 3.91, 1 Sr 4.15
Ca (0.5000, 0.5000, 0.0000)  4 Sr 3.91
Cs (0.6726, 0.8274, 0.5000)  6 Sr 4.56-4.92, 1 Cs 4.97
Cs (0.1726, 0.6726, 0.5000)  6 Sr 4.56-4.92, 1 Cs 4.97

2.
VASP calculation (GGA-PBE) on an optimized crystal structure of Cs3SrCa.

## Properties
* formation energy from the elements: 0.470 eV/atom
* energy above the lowest structure with this stoichiometry: 0 meV/atom
* final energy: -0.78 eV/atom
* Fermi-level density of states: 1.21 states/eV per atom

Unit cell a=8.1842 b=8.1842 c=8.1842 alpha=90.00 beta=90.00 gamma=90.00
Last column: nearest neighbours and their distance in Å.
Fractional positions:
Cs (0.0000, 0.0000, 0.5000)  2 Ca 4.09
Ca (0.0000, 0.0000, 0.0000)  6 Cs 4.09
Cs (0.0000, 0.5000, 0.0000)  2 Ca 4.09
Cs (0.5000, 0.0000, 0.0000)  2 Ca 4.09
Sr (0.5000, 0.5000, 0.5000)  12 Cs 5.79

3.
VASP calculation (GGA-PBE) on an optimized crystal structure of Cs2SrCa2.

## Properties
* formation energy from the elements: 0.342 eV/atom
* final energy: -1.14 eV/atom
* Fermi-level density of states: 1.46 states/eV per atom

Unit cell a=12.1401 b=12.1401 c=4.4933 alpha=90.00 beta=90.00 gamma=90.00
Last column: nearest neighbours and their distance in Å.
Fractional positions:
Sr (0.5000, 0.5000, 0.0000)  2 Sr 4.49, 4 Ca 4.89, 8 Cs 4.99
Cs (0.8194, 0.3194, 0.5000)  6 Ca 4.18-4.30, 2 Cs 4.49
Sr (0.0000, 0.0000, 0.0000)  2 Sr 4.49, 4 Ca 4.89, 8 Cs 4.99
Ca (0.3859, 0.8859, 0.0000)  1 Ca 3.92, 6 Cs 4.18-4.30
Cs (0.3194, 0.1806, 0.5000)  6 Ca 4.18-4.30, 2 Cs 4.49
Ca (0.6141, 0.1141, 0.0000)  1 Ca 3.92, 6 Cs 4.18-4.30
Cs (0.1806, 0.6806, 0.5000)  6 Ca 4.18-4.30, 2 Cs 4.49
Ca (0.8859, 0.6141, 0.0000)  1 Ca 3.92, 6 Cs 4.18-4.30
Ca (0.1141, 0.3859, 0.0000)  1 Ca 3.92, 6 Cs 4.18-4.30
Cs (0.6806, 0.8194, 0.5000)  6 Ca 4.18-4.30, 2 Cs 4.49

4.
VASP calculation (GGA-PBE) on an optimized crystal structure of Cs2SrCaTi.

## Properties
* formation energy from the elements: 1.001 eV/atom
* final energy: -1.66 eV/atom
* Fermi-level density of states: 1.04 states/eV per atom

Unit cell a=7.2358 b=5.7565 c=7.2358 alpha=90.00 beta=90.00 gamma=90.00
Last column: nearest neighbours and their distance in Å.
Fractional positions:
Cs (0.0000, 0.0000, 0.5000)  2 Ca 3.62
Cs (0.5000, 0.0000, 0.0000)  2 Ca 3.62
Ca (0.0000, 0.0000, 0.0000)  2 Ti 2.88
Ti (0.0000, 0.5000, 0.0000)  2 Ca 2.88
Sr (0.5000, 0.5000, 0.5000)  8 Cs 4.62, 4 Ti 5.12

5.
VASP calculation (GGA-PBE) on an optimized crystal structure of CsSr2CaTl.

## Properties
* formation energy from the elements: -0.037 eV/atom
* final energy: -1.75 eV/atom
* Fermi-level density of states: 0.94 states/eV per atom

Unit cell a=6.6388 b=6.6388 c=6.3115 alpha=90.00 beta=90.00 gamma=90.00
Last column: nearest neighbours and their distance in Å.
Fractional positions:
Ca (0.0000, 0.0000, 0.5000)  2 Tl 3.16
Cs (0.5000, 0.5000, 0.5000)  8 Sr 4.58, 4 Ca 4.69
Sr (0.5000, 0.0000, 0.0000)  2 Tl 3.32
Sr (0.0000, 0.5000, 0.0000)  2 Tl 3.32
Tl (0.0000, 0.0000, 0.0000)  2 Ca 3.16, 4 Sr 3.32

6.
VASP calculation (GGA-PBE) on an optimized crystal structure of CsSr2CaZn.

## Properties
* formation energy from the elements: 0.056 eV/atom
* final energy: -1.44 eV/atom
* Fermi-level density of states: 1.34 states/eV per atom

Unit cell a=6.4280 b=6.4280 c=6.1876 alpha=90.00 beta=90.00 gamma=90.00
Last column: nearest neighbours and their distance in Å.
Fractional positions:
Zn (0.0000, 0.0000, 0.0000)  2 Ca 3.09, 4 Sr 3.21
Ca (0.0000, 0.0000, 0.5000)  2 Zn 3.09
Cs (0.5000, 0.5000, 0.5000)  8 Sr 4.46, 4 Ca 4.55
Sr (0.5000, 0.0000, 0.0000)  2 Zn 3.21
Sr (0.0000, 0.5000, 0.0000)  2 Zn 3.21

7.
VASP calculation (GGA-PBE) on an optimized crystal structure of CsCaTa2.

## Properties
* formation energy from the elements: 2.036 eV/atom
* final energy: -4.60 eV/atom
* Fermi-level density of states: 1.52 states/eV per atom

Unit cell a=8.9328 b=8.9328 c=6.9176 alpha=49.78 beta=49.78 gamma=90.00
Last column: nearest neighbours and their distance in Å.
Fractional positions:
Ca (0.5000, 0.5000, 0.0000)  2 Cs 2.82
Cs (0.0000, 0.0000, 0.0000)  2 Ca 2.82
Ca (0.2500, 0.7500, 0.5000)  2 Cs 2.82
Ta (0.1156, 0.6250, 0.2500)  2 Ta 2.83
Cs (0.7500, 0.2500, 0.5000)  2 Ca 2.82
Ta (0.6344, 0.1250, 0.2500)  2 Ta 2.83
Ta (0.8750, 0.8844, 0.7500)  2 Ta 2.83
Ta (0.3750, 0.3656, 0.7500)  2 Ta 2.83

8.
VASP calculation (GGA-PBE) on an optimized crystal structure of CsCaTa.

## Properties
* formation energy from the elements: 0.672 eV/atom
* energy above the lowest structure with this stoichiometry: 220 meV/atom
* final energy: -4.23 eV/atom
* Fermi-level density of states: 1.04 states/eV per atom

Unit cell a=14.4339 b=4.1857 c=4.8614 alpha=90.00 beta=99.77 gamma=90.00
Last column: nearest neighbours and their distance in Å.
Fractional positions:
Cs (0.8386, 0.2500, 0.1712)  1 Ta 4.05, 2 Cs 4.19
Cs (0.1614, 0.7500, 0.8288)  1 Ta 4.05, 2 Cs 4.19
Ca (0.6043, 0.7500, 0.5527)  6 Ta 3.29-3.32, 2 Ca 3.63
Ta (0.5541, 0.2500, 0.0273)  2 Ta 2.60
Ta (0.4459, 0.7500, 0.9727)  2 Ta 2.60
Ca (0.3957, 0.2500, 0.4473)  6 Ta 3.29-3.32, 2 Ca 3.63